Rb3Sc3GaS8 | Alexandria via LeMat-Bulk | PBE | relaxed; uncorrected formation energy = -1398 meV/atom; SG = C2/m, No. 12; VASP energy = -5.2611 eV per atom
1.0
6.5050 -3.7499 0.0000
6.5050 3.7499 0.0000
-4.3421 0.0000 7.8481
Rb Sc Ga S
3 3 1 8
direct
0.0000 0.0000 0.0000 Rb
0.0000 0.5000 0.0000 Rb
0.5000 0.0000 0.0000 Rb
0.0000 0.5000 0.5000 Sc
0.5000 0.0000 0.5000 Sc
0.5000 0.5000 0.5000 Sc
0.0000 0.0000 0.5000 Ga
0.2228 0.2228 0.6783 S
0.2227 0.7328 0.6783 S
0.2672 0.7773 0.3217 S
0.2720 0.2720 0.3160 S
0.7280 0.7280 0.6840 S
0.7328 0.2227 0.6783 S
0.7773 0.2672 0.3217 S
0.7772 0.7772 0.3217 S